## 1
Entry from the Alexandria database: a geometry-optimized MnHgMo structure (GGA-PBE).

Cell and atoms, written as CIF:
```
data_MnHgMo
_chemical_formula_sum 'Mn2 Hg2 Mo2'
_cell_length_a 2.8068
_cell_length_b 2.8068
_cell_length_c 12.8054
_cell_angle_alpha 90.00
_cell_angle_beta 90.00
_cell_angle_gamma 90.00
_symmetry_space_group_name_H-M 'I 4 m m'
_symmetry_Int_Tables_number 107
_symmetry_space_group_name_Hall 'I 4 -2'
loop_
_atom_site_label
_atom_site_type_symbol
_atom_site_fract_x
_atom_site_fract_y
_atom_site_fract_z
Mn1 Mn 0.0000 0.0000 0.0000
Hg1 Hg 0.0000 0.0000 0.6711
Mo1 Mo 0.0000 0.0000 0.3520
```



## 2
Entry from the Alexandria database: a geometry-optimized MnHgMo structure (GGA-PBE).

Cell and atoms, written as CIF:
```
data_MnHgMo
_chemical_formula_sum 'Mn4 Hg4 Mo4'
_cell_length_a 3.3790
_cell_length_b 4.5275
_cell_length_c 13.1903
_cell_angle_alpha 90.00
_cell_angle_beta 90.00
_cell_angle_gamma 90.00
_symmetry_space_group_name_H-M 'F m m 2'
_symmetry_Int_Tables_number 42
_symmetry_space_group_name_Hall 'F 2 -2'
loop_
_atom_site_label
_atom_site_type_symbol
_atom_site_fract_x
_atom_site_fract_y
_atom_site_fract_z
Mn1 Mn 0.0000 0.0000 0.0000
Hg1 Hg 0.0000 0.0000 0.6741
Mo1 Mo 0.0000 0.0000 0.3601
```



## 3
Entry from the Alexandria database: a geometry-optimized MnHgMo structure (GGA-PBE).

Cell and atoms, written as CIF:
```
data_MnHgMo
_chemical_formula_sum 'Mn1 Hg1 Mo1'
_cell_length_a 4.5227
_cell_length_b 4.5227
_cell_length_c 2.7764
_cell_angle_alpha 90.00
_cell_angle_beta 90.00
_cell_angle_gamma 120.00
_symmetry_space_group_name_H-M 'P 3 m 1'
_symmetry_Int_Tables_number 156
_symmetry_space_group_name_Hall 'P 3 -2"'
loop_
_atom_site_label
_atom_site_type_symbol
_atom_site_fract_x
_atom_site_fract_y
_atom_site_fract_z
Mn1 Mn 0.0000 0.0000 0.0000
Hg1 Hg 0.3333 0.6667 0.7220
Mo1 Mo 0.6667 0.3333 0.2565
```



Most favorable structure: 2. The second most favorable one is 0.016 eV/atom above it.



## 1
Entry from the Alexandria database: a geometry-optimized Mn3HgMo structure (GGA-PBE).

Cell and atoms, written as CIF:
```
data_Mn3HgMo
_chemical_formula_sum 'Mn3 Hg1 Mo1'
_cell_length_a 4.6373
_cell_length_b 4.6373
_cell_length_c 4.6373
_cell_angle_alpha 90.00
_cell_angle_beta 90.00
_cell_angle_gamma 90.00
_symmetry_space_group_name_H-M 'P m -3 m'
_symmetry_Int_Tables_number 221
_symmetry_space_group_name_Hall '-P 4 2 3'
loop_
_atom_site_label
_atom_site_type_symbol
_atom_site_fract_x
_atom_site_fract_y
_atom_site_fract_z
Mn1 Mn 0.0000 0.0000 0.5000
Hg1 Hg 0.5000 0.5000 0.5000
Mo1 Mo 0.0000 0.0000 0.0000
```



## 2
Entry from the Alexandria database: a geometry-optimized Mn3HgMo structure (GGA-PBE).

Cell and atoms, written as CIF:
```
data_Mn3HgMo
_chemical_formula_sum 'Mn3 Hg1 Mo1'
_cell_length_a 4.8604
_cell_length_b 4.8604
_cell_length_c 4.8604
_cell_angle_alpha 90.00
_cell_angle_beta 90.00
_cell_angle_gamma 90.00
_symmetry_space_group_name_H-M 'P m -3 m'
_symmetry_Int_Tables_number 221
_symmetry_space_group_name_Hall '-P 4 2 3'
loop_
_atom_site_label
_atom_site_type_symbol
_atom_site_fract_x
_atom_site_fract_y
_atom_site_fract_z
Mn1 Mn 0.0000 0.0000 0.5000
Hg1 Hg 0.0000 0.0000 0.0000
Mo1 Mo 0.5000 0.5000 0.5000
```



Most favorable structure: 1. The second most favorable one is 0.677 eV/atom above it.



## 1
Entry from the Alexandria database: a geometry-optimized MnHgSN2 structure (GGA-PBE).

Cell and atoms, written as CIF:
```
data_MnHgSN2
_chemical_formula_sum 'Mn1 Hg1 S1 N2'
_cell_length_a 3.6499
_cell_length_b 3.6499
_cell_length_c 5.2700
_cell_angle_alpha 90.00
_cell_angle_beta 90.00
_cell_angle_gamma 90.00
_symmetry_space_group_name_H-M 'P 4/m m m'
_symmetry_Int_Tables_number 123
_symmetry_space_group_name_Hall '-P 4 2'
loop_
_atom_site_label
_atom_site_type_symbol
_atom_site_fract_x
_atom_site_fract_y
_atom_site_fract_z
Mn1 Mn 0.0000 0.0000 0.0000
Hg1 Hg 0.5000 0.5000 0.5000
S1 S 0.0000 0.0000 0.5000
N1 N 0.0000 0.5000 0.0000
```



## 2
Entry from the Alexandria database: a geometry-optimized MnHgSN2 structure (GGA-PBE).

Cell and atoms, written as CIF:
```
data_MnHgSN2
_chemical_formula_sum 'Mn1 Hg1 S1 N2'
_cell_length_a 4.0971
_cell_length_b 4.0971
_cell_length_c 5.9815
_cell_angle_alpha 90.00
_cell_angle_beta 90.00
_cell_angle_gamma 90.00
_symmetry_space_group_name_H-M 'P 4/m m m'
_symmetry_Int_Tables_number 123
_symmetry_space_group_name_Hall '-P 4 2'
loop_
_atom_site_label
_atom_site_type_symbol
_atom_site_fract_x
_atom_site_fract_y
_atom_site_fract_z
Mn1 Mn 0.0000 0.0000 0.0000
Hg1 Hg 0.5000 0.5000 0.5000
S1 S 0.5000 0.5000 0.0000
N1 N 0.0000 0.5000 0.5000
```



Most favorable structure: 1. The second most favorable one is 1.265 eV/atom above it.



## 1
Entry from the Alexandria database: a geometry-optimized Zr2MnHgN structure (GGA-PBE).

Cell and atoms, written as CIF:
```
data_Zr2MnHgN
_chemical_formula_sum 'Zr2 Mn1 Hg1 N1'
_cell_length_a 4.5830
_cell_length_b 4.5830
_cell_length_c 3.9051
_cell_angle_alpha 90.00
_cell_angle_beta 90.00
_cell_angle_gamma 90.00
_symmetry_space_group_name_H-M 'P 4/m m m'
_symmetry_Int_Tables_number 123
_symmetry_space_group_name_Hall '-P 4 2'
loop_
_atom_site_label
_atom_site_type_symbol
_atom_site_fract_x
_atom_site_fract_y
_atom_site_fract_z
Zr1 Zr 0.0000 0.5000 0.0000
Mn1 Mn 0.0000 0.0000 0.5000
Hg1 Hg 0.5000 0.5000 0.5000
N1 N 0.0000 0.0000 0.0000
```



## 2
Entry from the Alexandria database: a geometry-optimized Zr2MnHgN structure (GGA-PBE).

Cell and atoms, written as CIF:
```
data_Zr2MnHgN
_chemical_formula_sum 'Zr2 Mn1 Hg1 N1'
_cell_length_a 5.1220
_cell_length_b 5.1220
_cell_length_c 3.5132
_cell_angle_alpha 90.00
_cell_angle_beta 90.00
_cell_angle_gamma 90.00
_symmetry_space_group_name_H-M 'P 4/m m m'
_symmetry_Int_Tables_number 123
_symmetry_space_group_name_Hall '-P 4 2'
loop_
_atom_site_label
_atom_site_type_symbol
_atom_site_fract_x
_atom_site_fract_y
_atom_site_fract_z
Zr1 Zr 0.0000 0.5000 0.0000
Mn1 Mn 0.0000 0.0000 0.0000
Hg1 Hg 0.5000 0.5000 0.5000
N1 N 0.0000 0.0000 0.5000
```



Most favorable structure: 1. The second most favorable one is 0.822 eV/atom above it.



## 1
Entry from the Alexandria database: a geometry-optimized NaMn3Hg structure (GGA-PBE).

Cell and atoms, written as CIF:
```
data_NaMn3Hg
_chemical_formula_sum 'Na1 Mn3 Hg1'
_cell_length_a 5.1623
_cell_length_b 5.1623
_cell_length_c 5.1623
_cell_angle_alpha 90.00
_cell_angle_beta 90.00
_cell_angle_gamma 90.00
_symmetry_space_group_name_H-M 'P m -3 m'
_symmetry_Int_Tables_number 221
_symmetry_space_group_name_Hall '-P 4 2 3'
loop_
_atom_site_label
_atom_site_type_symbol
_atom_site_fract_x
_atom_site_fract_y
_atom_site_fract_z
Na1 Na 0.0000 0.0000 0.0000
Mn1 Mn 0.0000 0.5000 0.5000
Hg1 Hg 0.5000 0.5000 0.5000
```



## 2
Entry from the Alexandria database: a geometry-optimized NaMn3Hg structure (GGA-PBE).

Cell and atoms, written as CIF:
```
data_NaMn3Hg
_chemical_formula_sum 'Na1 Mn3 Hg1'
_cell_length_a 4.8068
_cell_length_b 4.8068
_cell_length_c 4.8068
_cell_angle_alpha 90.00
_cell_angle_beta 90.00
_cell_angle_gamma 90.00
_symmetry_space_group_name_H-M 'P m -3 m'
_symmetry_Int_Tables_number 221
_symmetry_space_group_name_Hall '-P 4 2 3'
loop_
_atom_site_label
_atom_site_type_symbol
_atom_site_fract_x
_atom_site_fract_y
_atom_site_fract_z
Na1 Na 0.0000 0.0000 0.0000
Mn1 Mn 0.0000 0.0000 0.5000
Hg1 Hg 0.5000 0.5000 0.5000
```



Most favorable structure: 1. The second most favorable one is 0.562 eV/atom above it.



## 1
Entry from the Alexandria database: a geometry-optimized Na3MnHg structure (GGA-PBE).

Cell and atoms, written as CIF:
```
data_Na3MnHg
_chemical_formula_sum 'Na3 Mn1 Hg1'
_cell_length_a 5.6647
_cell_length_b 5.6647
_cell_length_c 5.6647
_cell_angle_alpha 90.00
_cell_angle_beta 90.00
_cell_angle_gamma 90.00
_symmetry_space_group_name_H-M 'P m -3 m'
_symmetry_Int_Tables_number 221
_symmetry_space_group_name_Hall '-P 4 2 3'
loop_
_atom_site_label
_atom_site_type_symbol
_atom_site_fract_x
_atom_site_fract_y
_atom_site_fract_z
Na1 Na 0.0000 0.0000 0.5000
Mn1 Mn 0.5000 0.5000 0.5000
Hg1 Hg 0.0000 0.0000 0.0000
```



## 2
Entry from the Alexandria database: a geometry-optimized Na3MnHg structure (GGA-PBE).

Cell and atoms, written as CIF:
```
data_Na3MnHg
_chemical_formula_sum 'Na3 Mn1 Hg1'
_cell_length_a 5.8333
_cell_length_b 5.8333
_cell_length_c 5.8333
_cell_angle_alpha 90.00
_cell_angle_beta 90.00
_cell_angle_gamma 90.00
_symmetry_space_group_name_H-M 'P m -3 m'
_symmetry_Int_Tables_number 221
_symmetry_space_group_name_Hall '-P 4 2 3'
loop_
_atom_site_label
_atom_site_type_symbol
_atom_site_fract_x
_atom_site_fract_y
_atom_site_fract_z
Na1 Na 0.0000 0.0000 0.5000
Mn1 Mn 0.0000 0.0000 0.0000
Hg1 Hg 0.5000 0.5000 0.5000
```



Most favorable structure: 1. The second most favorable one is 0.075 eV/atom above it.



## 1
Entry from the Alexandria database: a geometry-optimized NaMn2Hg2 structure (GGA-PBE).

Cell and atoms, written as CIF:
```
data_NaMn2Hg2
_chemical_formula_sum 'Na2 Mn4 Hg4'
_cell_length_a 3.1430
_cell_length_b 3.1430
_cell_length_c 19.4213
_cell_angle_alpha 90.00
_cell_angle_beta 90.00
_cell_angle_gamma 90.00
_symmetry_space_group_name_H-M 'I 4/m m m'
_symmetry_Int_Tables_number 139
_symmetry_space_group_name_Hall '-I 4 2'
loop_
_atom_site_label
_atom_site_type_symbol
_atom_site_fract_x
_atom_site_fract_y
_atom_site_fract_z
Na1 Na 0.0000 0.0000 0.0000
Mn1 Mn 0.0000 0.5000 0.2500
Hg1 Hg 0.0000 0.0000 0.3766
```



## 2
Entry from the Alexandria database: a geometry-optimized NaMn2Hg2 structure (GGA-PBE).

Cell and atoms, written as CIF:
```
data_NaMn2Hg2
_chemical_formula_sum 'Na2 Mn4 Hg4'
_cell_length_a 8.1668
_cell_length_b 8.1668
_cell_length_c 3.0444
_cell_angle_alpha 90.00
_cell_angle_beta 90.00
_cell_angle_gamma 90.00
_symmetry_space_group_name_H-M 'P 4/m b m'
_symmetry_Int_Tables_number 127
_symmetry_space_group_name_Hall '-P 4 2ab'
loop_
_atom_site_label
_atom_site_type_symbol
_atom_site_fract_x
_atom_site_fract_y
_atom_site_fract_z
Na1 Na 0.0000 0.0000 0.0000
Mn1 Mn 0.1176 0.3824 0.0000
Hg1 Hg 0.1795 0.6795 0.5000
```



Most favorable structure: 2. The second most favorable one is 0.154 eV/atom above it.



## 1
Entry from the Alexandria database: a geometry-optimized Mn3NbHg structure (GGA-PBE).

Cell and atoms, written as CIF:
```
data_Mn3NbHg
_chemical_formula_sum 'Mn3 Nb1 Hg1'
_cell_length_a 4.7261
_cell_length_b 4.7261
_cell_length_c 4.7261
_cell_angle_alpha 90.00
_cell_angle_beta 90.00
_cell_angle_gamma 90.00
_symmetry_space_group_name_H-M 'P m -3 m'
_symmetry_Int_Tables_number 221
_symmetry_space_group_name_Hall '-P 4 2 3'
loop_
_atom_site_label
_atom_site_type_symbol
_atom_site_fract_x
_atom_site_fract_y
_atom_site_fract_z
Mn1 Mn 0.0000 0.0000 0.5000
Nb1 Nb 0.0000 0.0000 0.0000
Hg1 Hg 0.5000 0.5000 0.5000
```



## 2
Entry from the Alexandria database: a geometry-optimized Mn3NbHg structure (GGA-PBE).

Cell and atoms, written as CIF:
```
data_Mn3NbHg
_chemical_formula_sum 'Mn3 Nb1 Hg1'
_cell_length_a 4.9067
_cell_length_b 4.9067
_cell_length_c 4.9067
_cell_angle_alpha 90.00
_cell_angle_beta 90.00
_cell_angle_gamma 90.00
_symmetry_space_group_name_H-M 'P m -3 m'
_symmetry_Int_Tables_number 221
_symmetry_space_group_name_Hall '-P 4 2 3'
loop_
_atom_site_label
_atom_site_type_symbol
_atom_site_fract_x
_atom_site_fract_y
_atom_site_fract_z
Mn1 Mn 0.0000 0.0000 0.5000
Nb1 Nb 0.5000 0.5000 0.5000
Hg1 Hg 0.0000 0.0000 0.0000
```



Most favorable structure: 1. The second most favorable one is 0.265 eV/atom above it.



## 1
Entry from the Alexandria database: a geometry-optimized Mn3NiHg structure (GGA-PBE).

Cell and atoms, written as CIF:
```
data_Mn3NiHg
_chemical_formula_sum 'Mn3 Ni1 Hg1'
_cell_length_a 4.9625
_cell_length_b 4.9625
_cell_length_c 4.9625
_cell_angle_alpha 90.00
_cell_angle_beta 90.00
_cell_angle_gamma 90.00
_symmetry_space_group_name_H-M 'P m -3 m'
_symmetry_Int_Tables_number 221
_symmetry_space_group_name_Hall '-P 4 2 3'
loop_
_atom_site_label
_atom_site_type_symbol
_atom_site_fract_x
_atom_site_fract_y
_atom_site_fract_z
Mn1 Mn 0.0000 0.0000 0.5000
Ni1 Ni 0.5000 0.5000 0.5000
Hg1 Hg 0.0000 0.0000 0.0000
```



## 2
Entry from the Alexandria database: a geometry-optimized Mn3NiHg structure (GGA-PBE).

Cell and atoms, written as CIF:
```
data_Mn3NiHg
_chemical_formula_sum 'Mn3 Ni1 Hg1'
_cell_length_a 4.5636
_cell_length_b 4.5636
_cell_length_c 4.5636
_cell_angle_alpha 90.00
_cell_angle_beta 90.00
_cell_angle_gamma 90.00
_symmetry_space_group_name_H-M 'P m -3 m'
_symmetry_Int_Tables_number 221
_symmetry_space_group_name_Hall '-P 4 2 3'
loop_
_atom_site_label
_atom_site_type_symbol
_atom_site_fract_x
_atom_site_fract_y
_atom_site_fract_z
Mn1 Mn 0.0000 0.0000 0.5000
Ni1 Ni 0.0000 0.0000 0.0000
Hg1 Hg 0.5000 0.5000 0.5000
```



Most favorable structure: 2. The second most favorable one is 0.859 eV/atom above it.



## 1
Entry from the Alexandria database: a geometry-optimized MnNiHg3 structure (GGA-PBE).

Cell and atoms, written as CIF:
```
data_MnNiHg3
_chemical_formula_sum 'Mn1 Ni1 Hg3'
_cell_length_a 4.9694
_cell_length_b 4.9694
_cell_length_c 4.9694
_cell_angle_alpha 90.00
_cell_angle_beta 90.00
_cell_angle_gamma 90.00
_symmetry_space_group_name_H-M 'P m -3 m'
_symmetry_Int_Tables_number 221
_symmetry_space_group_name_Hall '-P 4 2 3'
loop_
_atom_site_label
_atom_site_type_symbol
_atom_site_fract_x
_atom_site_fract_y
_atom_site_fract_z
Mn1 Mn 0.0000 0.0000 0.0000
Ni1 Ni 0.5000 0.5000 0.5000
Hg1 Hg 0.0000 0.5000 0.5000
```



## 2
Entry from the Alexandria database: a geometry-optimized MnNiHg3 structure (GGA-PBE).

Cell and atoms, written as CIF:
```
data_MnNiHg3
_chemical_formula_sum 'Mn1 Ni1 Hg3'
_cell_length_a 5.1213
_cell_length_b 5.1213
_cell_length_c 5.1213
_cell_angle_alpha 90.00
_cell_angle_beta 90.00
_cell_angle_gamma 90.00
_symmetry_space_group_name_H-M 'P m -3 m'
_symmetry_Int_Tables_number 221
_symmetry_space_group_name_Hall '-P 4 2 3'
loop_
_atom_site_label
_atom_site_type_symbol
_atom_site_fract_x
_atom_site_fract_y
_atom_site_fract_z
Mn1 Mn 0.0000 0.0000 0.0000
Ni1 Ni 0.5000 0.5000 0.5000
Hg1 Hg 0.0000 0.0000 0.5000
```



Most favorable structure: 1. The second most favorable one is 0.421 eV/atom above it.